[1]
This record from OQMD describes a relaxed LaAgPbSe3 crystal. The functional is PBE.

a = 11.8101 Å, b = 4.4279 Å, c = 12.2854 Å
α = 90.00°, β = 90.00°, γ = 90.00°
With the nearest neighbours (Å) after each atom.
Element x y z (fractional)
1 Ag 0.7537 0.2500 0.2085  4 Se 2.62-2.67
2 Ag 0.2537 0.2500 0.2915  4 Se 2.62-2.67
3 Ag 0.7463 0.7500 0.7085  4 Se 2.62-2.67
4 Ag 0.2463 0.7500 0.7915  4 Se 2.62-2.67
5 La 0.4885 0.7500 0.1858  7 Se 2.99-3.26
6 La 0.9885 0.7500 0.3142  7 Se 2.99-3.26
7 La 0.0115 0.2500 0.6858  7 Se 2.99-3.26
8 La 0.5115 0.2500 0.8142  7 Se 2.99-3.26
9 Pb 0.8224 0.7500 0.0003  5 Se 3.02-3.23
10 Pb 0.3224 0.7500 0.4997  5 Se 3.02-3.23
11 Pb 0.6776 0.2500 0.5003  5 Se 3.02-3.23
12 Pb 0.1776 0.2500 0.9997  5 Se 3.02-3.23
13 Se 0.5959 0.2500 0.0591  1 Ag 2.62
14 Se 0.9641 0.2500 0.1350  1 Ag 2.64
15 Se 0.2228 0.7500 0.1744  2 Ag 2.67
16 Se 0.7228 0.7500 0.3256  2 Ag 2.67
17 Se 0.4641 0.2500 0.3650  1 Ag 2.64
18 Se 0.0959 0.2500 0.4409  1 Ag 2.62
19 Se 0.9041 0.7500 0.5591  1 Ag 2.62
20 Se 0.5359 0.7500 0.6350  1 Ag 2.64
21 Se 0.2772 0.2500 0.6744  2 Ag 2.67
22 Se 0.7772 0.2500 0.8256  2 Ag 2.67
23 Se 0.0359 0.7500 0.8650  1 Ag 2.64
24 Se 0.4041 0.7500 0.9409  1 Ag 2.62

Calculated values
Calculated total energy, eV per cell: -112.3
Energy above the lowest structure with this stoichiometry, meV/atom: 9.8
SG: Pnma

***

[2]
This record from OQMD describes a relaxed LaAgPbSe3 crystal. The functional is PBE.

a = 11.1004 Å, b = 7.2620 Å, c = 7.2620 Å
α = 33.85°, β = 90.00°, γ = 90.00°
With the nearest neighbours (Å) after each atom.
Element x y z (fractional)
1 Ag 0.0000 0.4723 0.4723  4 Se 2.63-2.70
2 Ag 0.5000 0.5277 0.5277  4 Se 2.63-2.70
3 La 0.2500 0.0000 0.0000  6 Se 3.03-3.06
4 La 0.7500 0.0000 0.0000  6 Se 3.03-3.06
5 Pb 0.5000 0.2391 0.2391  6 Se 3.15-3.21
6 Pb 0.0000 0.7609 0.7609  6 Se 3.15-3.21
7 Se 0.0000 0.0927 0.0927  2 Ag 2.70
8 Se 0.1842 0.3531 0.3531  1 Ag 2.63
9 Se 0.8158 0.3531 0.3531  1 Ag 2.63
10 Se 0.3158 0.6469 0.6469  1 Ag 2.63
11 Se 0.6842 0.6469 0.6469  1 Ag 2.63
12 Se 0.5000 0.9073 0.9073  2 Ag 2.70

Calculated values
Calculated total energy, eV per cell: -56.1
Energy above the lowest structure with this stoichiometry, meV/atom: 10.9
SG: Cmcm

***

[3]
This record from OQMD describes a relaxed LaAgPbSe3 crystal. The functional is PBE.

a = 11.1983 Å, b = 4.2805 Å, c = 13.7418 Å
α = 90.00°, β = 90.00°, γ = 90.00°
With the nearest neighbours (Å) after each atom.
Element x y z (fractional)
1 Ag 0.7650 0.2500 0.2236  4 Se 2.62-2.69
2 Ag 0.2650 0.2500 0.2764  4 Se 2.62-2.69
3 Ag 0.7350 0.7500 0.7236  4 Se 2.62-2.69
4 Ag 0.2350 0.7500 0.7764  4 Se 2.62-2.69
5 La 0.5178 0.7500 0.2370  6 Se 2.99-3.09
6 La 0.0178 0.7500 0.2630  6 Se 2.99-3.09
7 La 0.9822 0.2500 0.7370  6 Se 2.99-3.09
8 La 0.4822 0.2500 0.7630  6 Se 2.99-3.09
9 Pb 0.7870 0.7500 0.0061  7 Se 3.15-3.32
10 Pb 0.2870 0.7500 0.4939  7 Se 3.15-3.32
11 Pb 0.7130 0.2500 0.5061  7 Se 3.15-3.32
12 Pb 0.2130 0.2500 0.9939  7 Se 3.15-3.32
13 Se 0.5903 0.2500 0.0970  1 Ag 2.62
14 Se 0.9582 0.2500 0.1108  1 Ag 2.66
15 Se 0.2613 0.7500 0.1575  2 Ag 2.69
16 Se 0.7613 0.7500 0.3425  2 Ag 2.69
17 Se 0.4582 0.2500 0.3892  1 Ag 2.66
18 Se 0.0903 0.2500 0.4030  1 Ag 2.62
19 Se 0.9097 0.7500 0.5970  1 Ag 2.62
20 Se 0.5418 0.7500 0.6108  1 Ag 2.66
21 Se 0.2387 0.2500 0.6575  2 Ag 2.69
22 Se 0.7387 0.2500 0.8425  2 Ag 2.69
23 Se 0.0418 0.7500 0.8892  1 Ag 2.66
24 Se 0.4097 0.7500 0.9030  1 Ag 2.62

Calculated values
Calculated total energy, eV per cell: -112.5
Energy above the lowest structure with this stoichiometry, meV/atom: 4.3
SG: Pnma

***

Question: Among the records above, which one has the highest calculated total energy?
Answer: number 2